Entry 1:
The following is a PBE calculation of crystalline LuScNiSb at its relaxed geometry, from OQMD.

Properties
Energy above the lowest structure with this stoichiometry = 0.0 meV/atom

Cell: 4.846 4.846 4.846 Å, 60.00 60.00 60.00°
Fractional positions:
Lu 0.500 0.500 0.500
Ni 0.750 0.750 0.750
Sb 0.000 0.000 0.000
Sc 0.250 0.250 0.250



Entry 2:
The following is a PBE calculation of crystalline LuTcNiSb at its relaxed geometry, from OQMD.

Properties
Energy above the lowest structure with this stoichiometry = 505.8 meV/atom

Cell: 4.701 4.701 4.701 Å, 60.00 60.00 60.00°
Fractional positions:
Lu 0.250 0.250 0.250
Ni 0.750 0.750 0.750
Sb 0.000 0.000 0.000
Tc 0.500 0.500 0.500